No. 1
Entry from the Alexandria database: a geometry-optimized Pr12Er2Sc structure (PBE).

Lattice parameters (Å, degrees): 6.6201 6.6201 25.3730 90.00 90.00 90.00
With the nearest neighbours (Å) after each atom.
Atoms (fractional coordinates):
Pr 0.0650 0.5650 0.1073  1 Sc 3.23, 7 Pr 3.42-3.56
Pr 0.0650 0.9350 0.8927  1 Sc 3.23, 7 Pr 3.42-3.56
Pr 0.0815 0.5815 0.4365  5 Pr 3.15-3.48
Pr 0.0815 0.9185 0.5635  5 Pr 3.15-3.48
Pr 0.2500 0.2500 0.2104  1 Pr 3.14
Pr 0.2500 0.2500 0.3342  1 Pr 3.14
Pr 0.2500 0.2500 0.6658  1 Pr 3.14
Pr 0.2500 0.2500 0.7896  1 Pr 3.14
Pr 0.4185 0.5815 0.5635  5 Pr 3.15-3.48
Pr 0.4185 0.9185 0.4365  5 Pr 3.15-3.48
Pr 0.4350 0.5650 0.8927  1 Sc 3.23, 7 Pr 3.42-3.56
Pr 0.4350 0.9350 0.1073  1 Sc 3.23, 7 Pr 3.42-3.56
Pr 0.5650 0.0650 0.8927  1 Sc 3.23, 7 Pr 3.42-3.56
Pr 0.5650 0.4350 0.1073  1 Sc 3.23, 7 Pr 3.42-3.56
Pr 0.5815 0.0815 0.5635  5 Pr 3.15-3.48
Pr 0.5815 0.4185 0.4365  5 Pr 3.15-3.48
Pr 0.7500 0.7500 0.2104  1 Pr 3.14
Pr 0.7500 0.7500 0.3342  1 Pr 3.14
Pr 0.7500 0.7500 0.6658  1 Pr 3.14
Pr 0.7500 0.7500 0.7896  1 Pr 3.14
Pr 0.9185 0.0815 0.4365  5 Pr 3.15-3.48
Pr 0.9185 0.4185 0.5635  5 Pr 3.15-3.48
Pr 0.9350 0.0650 0.1073  1 Sc 3.23, 7 Pr 3.42-3.56
Pr 0.9350 0.4350 0.8927  1 Sc 3.23, 7 Pr 3.42-3.56
Er 0.2500 0.7500 0.2693  8 Pr 3.63-3.70
Er 0.2500 0.7500 0.7307  8 Pr 3.63-3.70
Er 0.7500 0.2500 0.2693  8 Pr 3.63-3.70
Er 0.7500 0.2500 0.7307  8 Pr 3.63-3.70
Sc 0.2500 0.7500 0.0000  4 Pr 3.23
Sc 0.7500 0.2500 0.0000  4 Pr 3.23

Values from the calculation:
For the formation enthalpy at 0 K, the calculation gives 0.341 eV per atom. Its total moment is 0.000 μB/f.u.



No. 2
Entry from the Alexandria database: a geometry-optimized Pr3ErSc2 structure (PBE).

Lattice parameters (Å, degrees): 8.7955 8.7955 5.5584 90.00 90.00 67.61
With the nearest neighbours (Å) after each atom.
Atoms (fractional coordinates):
Pr 0.0909 0.9091 0.7500  4 Pr 3.30-3.63, 3 Er 3.35-3.64, 2 Sc 3.43
Pr 0.1110 0.3816 0.2500  2 Sc 3.15-3.39
Pr 0.3816 0.1110 0.7500  2 Sc 3.15-3.39
Pr 0.6184 0.8890 0.2500  2 Sc 3.15-3.39
Pr 0.8890 0.6184 0.7500  2 Sc 3.15-3.39
Pr 0.9091 0.0909 0.2500  4 Pr 3.30-3.63, 3 Er 3.35-3.64, 2 Sc 3.43
Er 0.2812 0.7188 0.2500  3 Pr 3.35-3.64, 6 Sc 3.39-3.40
Er 0.7188 0.2812 0.7500  3 Pr 3.35-3.64, 6 Sc 3.39-3.40
Sc 0.3044 0.4909 0.7500  3 Sc 2.99-3.33, 1 Pr 3.15
Sc 0.4909 0.3044 0.2500  3 Sc 2.99-3.33, 1 Pr 3.15
Sc 0.5091 0.6956 0.7500  3 Sc 2.99-3.33, 1 Pr 3.15
Sc 0.6956 0.5091 0.2500  3 Sc 2.99-3.33, 1 Pr 3.15

Values from the calculation:
For the formation enthalpy at 0 K, the calculation gives 0.259 eV per atom. Its total moment is 0.000 μB/f.u.



No. 3
Entry from the Alexandria database: a geometry-optimized PrEr5Sc structure (PBE).

Lattice parameters (Å, degrees): 7.5926 7.5926 7.5926 115.93 82.79 133.49
With the nearest neighbours (Å) after each atom.
Atoms (fractional coordinates):
Pr 0.0000 0.0000 0.0000  4 Er 2.85-3.15
Er 0.4749 0.4749 0.0000  2 Pr 2.85-3.15, 2 Er 3.07
Er 0.4868 0.7388 0.7481  1 Sc 2.83
Er 0.7454 0.0692 0.3238  2 Er 2.84-3.07, 1 Pr 3.02
Er 0.7454 0.4215 0.6762  2 Er 2.84-3.07, 1 Pr 3.02
Er 0.9907 0.7388 0.2519  1 Sc 2.83
Sc 0.2469 0.7469 0.5000  2 Er 2.83

Values from the calculation:
The energy relative to the lowest polymorph listed for this composition is 784 meV/atom. For the formation enthalpy at 0 K, the calculation gives 0.995 eV per atom. Its total moment is 0.000 μB/f.u.